## LuAl2Cu (PBE)

Data for LuAl2Cu after structural relaxation.

Summary:
electronic total energy: -16.6 eV/cell
spin magnetization: 0.00 μB/f.u.
space group: F-43m, No. 216

Cell lengths 4.610, 4.610, 4.610 Å; angles 60.00, 60.00, 60.00 degrees
Sites, in units of the cell vectors:
Lu: 0.000 0.000 0.000
Al: 0.250 0.250 0.250
Al: 0.500 0.500 0.500
Cu: 0.750 0.750 0.750